This record from Alexandria describes a geometry-optimized NdZrCoCu structure. The functional is PBE-GGA.

```
4
Lattice="0.0000 3.3734 3.3734 3.3734 0.0000 3.3734 3.3734 3.3734 0.0000" Properties=species:S:1:pos:R:3 pbc="T T T"
Nd 0.0000 0.0000 0.0000
Zr 3.3734 3.3734 3.3734
Co 5.0602 5.0602 5.0602
Cu 1.6867 1.6867 1.6867
```

Properties
As for the calculated total energy: -24.5 eV per formula unit. The energy of formation comes out at 0.0 eV/f.u. The density of states at the Fermi level comes out at 3.9 states/eV per cell. For the volume, the calculation gives 77 Å³/f.u.


This record from Alexandria describes a geometry-optimized CoCu2Ni2 structure. The functional is PBE-GGA.

```
5
Lattice="-1.6273 1.6273 5.9767 1.6273 -1.6273 5.9767 1.6273 1.6273 -5.9767" Properties=species:S:1:pos:R:3 pbc="T T T"
Co 0.0000 0.0000 0.0000
Cu 1.6273 0.0000 2.9884
Cu 0.0000 1.6273 2.9884
Ni 0.0000 0.0000 4.8345
Ni 0.0000 0.0000 7.1190
```

Properties
As for the calculated total energy: -24.4 eV per formula unit. The energy of formation comes out at 2.4 eV/f.u. The density of states at the Fermi level comes out at 8.8 states/eV per cell. For the volume, the calculation gives 63 Å³/f.u.


This record from Alexandria describes a geometry-optimized Co2Cu2Ni5 structure. The functional is PBE-GGA.

```
9
Lattice="3.9693 -1.7622 0.0000 3.9693 1.7622 0.0000 -2.4144 0.0000 7.1375" Properties=species:S:1:pos:R:3 pbc="T T T"
Co 0.4027 0.0000 2.8046
Co 5.1215 0.0000 4.3329
Cu 1.1989 0.0000 0.4006
Cu 4.3252 0.0000 6.7369
Ni -0.4469 0.0000 5.0970
Ni 1.9270 0.0000 5.9210
Ni 2.7621 0.0000 3.5688
Ni 3.5971 0.0000 1.2166
Ni 5.9711 0.0000 2.0405
```

Properties
As for the calculated total energy: -51.1 eV per formula unit. The energy of formation comes out at 0.3 eV/f.u. The density of states at the Fermi level comes out at 10.4 states/eV per cell. For the volume, the calculation gives 100 Å³/f.u.


This record from Alexandria describes a geometry-optimized CoCuNi structure. The functional is PBE-GGA.

```
3
Lattice="0.0000 2.7120 2.7120 2.7120 0.0000 2.7120 2.7120 2.7120 0.0000" Properties=species:S:1:pos:R:3 pbc="T T T"
Co 0.0000 0.0000 0.0000
Cu 2.7120 2.7120 2.7120
Ni 1.3560 1.3560 1.3560
```

Properties
As for the calculated total energy: -15.5 eV per formula unit. The energy of formation comes out at 1.5 eV/f.u. The density of states at the Fermi level comes out at 0.9 states/eV per cell. For the volume, the calculation gives 40 Å³/f.u.


This record from Alexandria describes a geometry-optimized Co2CuNi8 structure. The functional is PBE-GGA.

```
11
Lattice="8.2318 -1.2360 0.0000 8.2318 1.2360 0.0000 -2.2845 0.0000 6.2205" Properties=species:S:1:pos:R:3 pbc="T T T"
Co 2.6721 0.0000 1.2864
Co 11.5070 0.0000 4.9341
Cu 7.0895 0.0000 3.1102
Ni 0.3215 0.0000 1.5073
Ni 1.2121 0.0000 5.2540
Ni 4.2598 0.0000 3.0793
Ni 6.8200 0.0000 0.4096
Ni 7.3591 0.0000 5.8109
Ni 9.9193 0.0000 3.1412
Ni 12.9670 0.0000 0.9665
Ni 13.8576 0.0000 4.7131
```

Properties
As for the calculated total energy: -62.9 eV per formula unit. The energy of formation comes out at 1.7 eV/f.u. The density of states at the Fermi level comes out at 14.7 states/eV per cell. For the volume, the calculation gives 127 Å³/f.u.


This record from Alexandria describes a geometry-optimized CoCu2Ni structure. The functional is PBE-GGA.

```
4
Lattice="0.0000 2.8393 2.8393 2.8393 0.0000 2.8393 2.8393 2.8393 0.0000" Properties=species:S:1:pos:R:3 pbc="T T T"
Co 0.0000 0.0000 0.0000
Cu 1.4196 1.4196 1.4196
Cu 4.2589 4.2589 4.2589
Ni 2.8393 2.8393 2.8393
```

Properties
As for the calculated total energy: -20.3 eV per formula unit. The energy of formation comes out at 0.8 eV/f.u. The density of states at the Fermi level comes out at 10.2 states/eV per cell. For the volume, the calculation gives 46 Å³/f.u.